TiCd3Br meta-GGA SCAN single point on PBEsol structure; symmetry = No. 221; raw formation energy = 0.9168 eV per atom; crystal system = cubic
1.0
5.316 0.000 0.000
0.000 5.316 0.000
0.000 0.000 5.316
Ti Cd Br
1 3 1
Cartesian
0.000 0.000 0.000
0.000 2.658 2.658
2.658 0.000 2.658
2.658 2.658 0.000
2.658 2.658 2.658



MgZrCd2 meta-GGA SCAN single point on PBEsol structure; symmetry = No. 123; ΔE_f = -0.22 eV/atom; crystal system = tetragonal
1.0
3.142 0.000 0.000
0.000 3.142 0.000
0.000 0.000 8.286
Mg Zr Cd
1 1 2
Cartesian
0.000 0.000 0.000
0.000 0.000 4.143
1.571 1.571 2.022
1.571 1.571 6.264



Al2CdW meta-GGA SCAN single point on PBEsol structure; symmetry = No. 25; ΔE_f = 0.24 eV/atom; crystal system = orthorhombic
1.0
2.920 0.000 0.000
0.000 4.020 0.000
0.000 0.000 5.569
Al Cd W
2 1 1
Cartesian
0.000 0.000 0.000
1.460 2.010 1.499
0.000 0.000 2.823
1.460 2.010 4.411



Cs2Zr2MnMo6O24 meta-GGA SCAN single point on PBEsol structure; symmetry = No. 2; raw formation energy = -2.4660 eV per atom; crystal system = triclinic
1.0
8.550 0.000 0.000
-1.456 8.679 0.000
-1.471 -1.750 8.520
Cs Zr Mn Mo O
2 2 1 6 24
Cartesian
0.714 1.186 1.521
4.909 5.744 6.999
3.539 -0.875 4.260
3.547 4.339 0.000
-1.464 3.465 4.260
0.394 0.778 5.588
0.520 5.323 1.751
0.565 5.585 6.688
5.058 1.344 1.832
5.103 1.606 6.770
5.228 6.152 2.932
-1.014 -0.149 5.900
-0.627 4.301 2.591
-0.201 6.037 0.371
0.036 2.064 4.446
-0.545 4.819 5.586
-0.293 6.777 7.576
1.650 -0.231 4.787
1.024 1.501 7.107
1.870 4.234 1.236
1.222 6.573 2.840
1.333 4.366 7.774
1.909 6.337 5.733
3.714 0.593 2.787
4.290 2.563 0.746
4.400 0.356 5.681
3.753 2.696 7.285
4.599 5.428 1.413
3.972 7.160 3.733
5.915 0.153 0.945
6.168 2.110 2.934
5.587 4.866 4.074
5.823 0.892 8.150
6.249 2.628 5.930
6.636 7.078 2.621



ScTcOF2 meta-GGA SCAN single point on PBEsol structure; symmetry = No. 123; raw formation energy = -2.0630 eV per atom; crystal system = tetragonal
1.0
4.096 0.000 0.000
0.000 4.096 0.000
0.000 0.000 4.031
Sc Tc O F
1 1 1 2
Cartesian
0.000 0.000 0.000
2.048 2.048 2.016
0.000 0.000 2.016
0.000 2.048 0.000
2.048 0.000 0.000



CaCu2W meta-GGA SCAN single point on PBEsol structure; symmetry = No. 47; ΔE_f = 0.41 eV/atom; crystal system = orthorhombic; energy relative to the lowest polymorph listed for this composition = 0.0 kJ/mol of atoms
1.0
2.724 0.000 0.000
0.000 3.721 0.000
0.000 0.000 6.454
Ca Cu W
1 2 1
Cartesian
0.000 0.000 0.000
1.362 1.860 1.965
1.362 1.860 4.489
0.000 0.000 3.227